Here is crystalline Ba2TmMnO5 at its relaxed geometry from Alexandria. Energies are from GGA+U.

Values from the calculation:
E: -7.050 eV/atom
V: 308.7 Å³/cell
SG: Cmc2_1, No. 36

abc: 7.9413 7.9413 11.0762
angles: 90.00 90.00 153.78
Closest atoms and distances in Å follow each position.
Sites, in units of the cell vectors:
Ba (0.1177, 0.8823, 0.5000)  5 O 2.71-2.82
Ba (0.1309, 0.8691, 0.1371)  7 O 2.71-2.97
Ba (0.8691, 0.1309, 0.6371)  7 O 2.71-2.97
Ba (0.8823, 0.1177, 0.0000)  5 O 2.71-2.82
Tm (0.2089, 0.7911, 0.8368)  5 O 2.11-2.34
Tm (0.7911, 0.2089, 0.3368)  5 O 2.11-2.34
Mn (0.4458, 0.5542, 0.2517)  4 O 1.87-2.06
Mn (0.5542, 0.4458, 0.7517)  4 O 1.87-2.06
O (0.0513, 0.9487, 0.8018)  2 Mn 1.89
O (0.2962, 0.7038, 0.4628)  2 Tm 2.28
O (0.3163, 0.6837, 0.2064)  1 Mn 2.06
O (0.3451, 0.6549, 0.8247)  1 Tm 2.11
O (0.4978, 0.5022, 0.6024)  1 Mn 1.87
O (0.5022, 0.4978, 0.1024)  1 Mn 1.87
O (0.6549, 0.3451, 0.3247)  1 Tm 2.11
O (0.6837, 0.3163, 0.7064)  1 Mn 2.06
O (0.7038, 0.2962, 0.9628)  2 Tm 2.28
O (0.9487, 0.0513, 0.3018)  2 Mn 1.89